The following is a GGA-PBE calculation of a geometry-optimized Er5CdRh2 structure, from the Alexandria database.

Cell: 8.617 8.617 8.617 Å, 127.02 127.02 78.22°
Positions (direct):
Er (0.000, 0.000, 0.000)
Er (0.024, 0.524, 0.819)
Er (0.205, 0.024, 0.500)
Er (0.295, 0.795, 0.819)
Er (0.476, 0.295, 0.500)
Er (0.500, 0.500, 0.000)
Er (0.524, 0.705, 0.500)
Er (0.705, 0.205, 0.181)
Er (0.795, 0.976, 0.500)
Er (0.976, 0.476, 0.181)
Cd (0.250, 0.250, 0.000)
Cd (0.750, 0.750, 0.000)
Rh (0.141, 0.359, 0.500)
Rh (0.359, 0.859, 0.219)
Rh (0.641, 0.141, 0.781)
Rh (0.859, 0.641, 0.500)

Properties
For the calculated formation energy, the calculation gives -0.610 eV per atom. As for the electronic total energy: -86.618 eV/cell. For the density of states at the Fermi level, the calculation gives 9.43 states/eV per cell. The value obtained for the magnetic moment is 0.00 μB per cell.